A plane-wave DFT calculation with GGA+U was carried out for a relaxed CoGe2O4 crystal.

a = 6.130 Å, b = 6.130 Å, c = 6.130 Å
α = 60.00°, β = 60.00°, γ = 60.00°
Element x y z (fractional)
Co 0.125 0.125 0.125
Co 0.875 0.875 0.875
Ge 0.000 0.500 0.500
Ge 0.500 0.000 0.500
Ge 0.500 0.500 0.000
Ge 0.500 0.500 0.500
O 0.260 0.260 0.260
O 0.260 0.260 0.720
O 0.260 0.720 0.260
O 0.280 0.740 0.740
O 0.720 0.260 0.260
O 0.740 0.280 0.740
O 0.740 0.740 0.280
O 0.740 0.740 0.740

=====

A plane-wave DFT calculation with GGA+U was carried out for a relaxed Co10Ge3O16 crystal.

a = 10.216 Å, b = 10.216 Å, c = 10.216 Å
α = 33.89°, β = 33.89°, γ = 33.89°
Element x y z (fractional)
Co 0.000 0.000 0.000
Co 0.000 0.000 0.500
Co 0.000 0.500 0.000
Co 0.251 0.251 0.742
Co 0.251 0.742 0.251
Co 0.258 0.749 0.749
Co 0.500 0.000 0.000
Co 0.742 0.251 0.251
Co 0.749 0.258 0.749
Co 0.749 0.749 0.258
Ge 0.311 0.311 0.311
Ge 0.500 0.500 0.500
Ge 0.689 0.689 0.689
O 0.123 0.123 0.123
O 0.127 0.127 0.623
O 0.127 0.623 0.127
O 0.160 0.613 0.613
O 0.373 0.373 0.373
O 0.377 0.873 0.873
O 0.387 0.387 0.840
O 0.387 0.840 0.387
O 0.613 0.160 0.613
O 0.613 0.613 0.160
O 0.623 0.127 0.127
O 0.627 0.627 0.627
O 0.840 0.387 0.387
O 0.873 0.377 0.873
O 0.873 0.873 0.377
O 0.877 0.877 0.877

=====

A plane-wave DFT calculation with GGA+U was carried out for a relaxed CoGePO crystal.

a = 3.579 Å, b = 3.579 Å, c = 9.111 Å
α = 90.00°, β = 90.00°, γ = 90.00°
Element x y z (fractional)
Co 0.250 0.750 0.000
Co 0.750 0.250 0.000
Ge 0.250 0.250 0.384
Ge 0.750 0.750 0.616
P 0.250 0.250 0.868
P 0.750 0.750 0.132
O 0.250 0.750 0.500
O 0.750 0.250 0.500

=====

A plane-wave DFT calculation with GGA+U was carried out for a relaxed CoGePO crystal.

a = 3.604 Å, b = 5.945 Å, c = 5.788 Å
α = 90.00°, β = 90.00°, γ = 90.00°
Element x y z (fractional)
Co 0.000 0.144 0.000
Co 0.000 0.856 0.500
Ge 0.500 0.299 0.441
Ge 0.500 0.701 0.941
P 0.500 0.312 0.850
P 0.500 0.688 0.350
O 0.000 0.182 0.362
O 0.000 0.818 0.862

=====

A plane-wave DFT calculation with GGA+U was carried out for a relaxed CoGePO crystal.

a = 3.560 Å, b = 3.560 Å, c = 9.357 Å
α = 90.00°, β = 90.00°, γ = 90.00°
Element x y z (fractional)
Co 0.250 0.750 0.000
Co 0.750 0.250 0.000
Ge 0.250 0.250 0.386
Ge 0.750 0.750 0.614
P 0.250 0.250 0.870
P 0.750 0.750 0.130
O 0.250 0.750 0.500
O 0.750 0.250 0.500

=====

A plane-wave DFT calculation with GGA+U was carried out for a relaxed CoGePO crystal.

a = 4.123 Å, b = 4.123 Å, c = 8.045 Å
α = 90.00°, β = 90.00°, γ = 90.00°
Element x y z (fractional)
Co 0.250 0.250 0.044
Co 0.750 0.750 0.956
Ge 0.250 0.750 0.500
Ge 0.750 0.250 0.500
P 0.250 0.250 0.340
P 0.750 0.750 0.660
O 0.250 0.750 0.000
O 0.750 0.250 0.000

=====

A plane-wave DFT calculation with GGA+U was carried out for a relaxed CoGePO crystal.

a = 3.635 Å, b = 6.239 Å, c = 5.531 Å
α = 90.00°, β = 90.00°, γ = 90.00°
Element x y z (fractional)
Co 0.000 0.189 0.000
Co 0.000 0.811 0.500
Ge 0.500 0.353 0.554
Ge 0.500 0.647 0.054
P 0.000 0.166 0.411
P 0.000 0.834 0.911
O 0.500 0.372 0.903
O 0.500 0.628 0.403

=====

A plane-wave DFT calculation with GGA+U was carried out for a relaxed CoReGe2O6 crystal.

a = 5.498 Å, b = 5.498 Å, c = 5.498 Å
α = 60.00°, β = 60.00°, γ = 60.00°
Element x y z (fractional)
Co 0.000 0.000 0.000
Re 0.500 0.500 0.500
Ge 0.250 0.250 0.250
Ge 0.750 0.750 0.750
O 0.255 0.255 0.745
O 0.255 0.745 0.255
O 0.255 0.745 0.745
O 0.745 0.255 0.255
O 0.745 0.255 0.745
O 0.745 0.745 0.255

=====

A plane-wave DFT calculation with GGA+U was carried out for a relaxed CoGeSO crystal.

a = 7.366 Å, b = 6.737 Å, c = 5.586 Å
α = 90.00°, β = 90.00°, γ = 90.00°
Element x y z (fractional)
Co 0.097 0.152 0.000
Co 0.403 0.152 0.500
Co 0.597 0.848 0.000
Co 0.903 0.848 0.500
Ge 0.114 0.624 0.920
Ge 0.386 0.624 0.420
Ge 0.614 0.376 0.920
Ge 0.886 0.376 0.420
S 0.094 0.117 0.590
S 0.406 0.117 0.090
S 0.594 0.883 0.590
S 0.906 0.883 0.090
O 0.033 0.414 0.126
O 0.467 0.414 0.626
O 0.533 0.586 0.126
O 0.967 0.586 0.626

=====

A plane-wave DFT calculation with GGA+U was carried out for a relaxed CoGe2SO6 crystal.

a = 5.035 Å, b = 5.035 Å, c = 5.035 Å
α = 66.79°, β = 66.79°, γ = 66.79°
Element x y z (fractional)
Co 0.000 0.000 0.000
Ge 0.269 0.269 0.269
Ge 0.731 0.731 0.731
S 0.500 0.500 0.500
O 0.209 0.681 0.347
O 0.319 0.653 0.791
O 0.347 0.209 0.681
O 0.653 0.791 0.319
O 0.681 0.347 0.209
O 0.791 0.319 0.653

=====

A plane-wave DFT calculation with GGA+U was carried out for a relaxed CoGeSO crystal.

a = 6.403 Å, b = 7.065 Å, c = 9.984 Å
α = 90.00°, β = 90.00°, γ = 90.00°
Element x y z (fractional)
Co 0.000 0.248 0.019
Co 0.000 0.252 0.519
Co 0.000 0.748 0.481
Co 0.000 0.752 0.981
Co 0.500 0.248 0.481
Co 0.500 0.252 0.981
Co 0.500 0.748 0.019
Co 0.500 0.752 0.519
Ge 0.246 0.060 0.250
Ge 0.246 0.440 0.750
Ge 0.254 0.560 0.250
Ge 0.254 0.940 0.750
Ge 0.746 0.060 0.250
Ge 0.746 0.440 0.750
Ge 0.754 0.560 0.250
Ge 0.754 0.940 0.750
S 0.248 0.001 0.501
S 0.248 0.499 0.001
S 0.252 0.501 0.501
S 0.252 0.999 0.001
S 0.748 0.001 0.999
S 0.748 0.499 0.499
S 0.752 0.501 0.999
S 0.752 0.999 0.499
O 0.003 0.719 0.255
O 0.003 0.781 0.755
O 0.497 0.219 0.255
O 0.497 0.281 0.755
O 0.503 0.719 0.245
O 0.503 0.781 0.745
O 0.997 0.219 0.245
O 0.997 0.281 0.745

=====

A plane-wave DFT calculation with GGA+U was carried out for a relaxed CoGeSO crystal.

a = 3.913 Å, b = 3.913 Å, c = 8.057 Å
α = 90.00°, β = 90.00°, γ = 90.00°
Element x y z (fractional)
Co 0.250 0.250 0.053
Co 0.750 0.750 0.947
Ge 0.250 0.250 0.659
Ge 0.750 0.750 0.341
S 0.250 0.250 0.358
S 0.750 0.750 0.642
O 0.250 0.750 0.000
O 0.750 0.250 0.000

=====

A plane-wave DFT calculation with GGA+U was carried out for a relaxed CoGeSO crystal.

a = 6.667 Å, b = 9.434 Å, c = 7.932 Å
α = 90.00°, β = 90.00°, γ = 90.00°
Element x y z (fractional)
Co 0.028 0.233 0.004
Co 0.028 0.267 0.504
Co 0.472 0.733 0.004
Co 0.472 0.767 0.504
Co 0.528 0.233 0.496
Co 0.528 0.267 0.996
Co 0.972 0.733 0.496
Co 0.972 0.767 0.996
Ge 0.240 0.074 0.210
Ge 0.240 0.426 0.710
Ge 0.260 0.574 0.210
Ge 0.260 0.926 0.710
Ge 0.740 0.074 0.290
Ge 0.740 0.426 0.790
Ge 0.760 0.574 0.290
Ge 0.760 0.926 0.790
S 0.011 0.098 0.742
S 0.011 0.402 0.242
S 0.489 0.598 0.742
S 0.489 0.902 0.242
S 0.511 0.098 0.758
S 0.511 0.402 0.258
S 0.989 0.598 0.758
S 0.989 0.902 0.258
O 0.236 0.656 0.420
O 0.236 0.844 0.920
O 0.264 0.156 0.420
O 0.264 0.344 0.920
O 0.736 0.656 0.080
O 0.736 0.844 0.580
O 0.764 0.156 0.080
O 0.764 0.344 0.580

=====

A plane-wave DFT calculation with GGA+U was carried out for a relaxed CoGeSO crystal.

a = 3.470 Å, b = 3.470 Å, c = 10.260 Å
α = 90.00°, β = 90.00°, γ = 90.00°
Element x y z (fractional)
Co 0.250 0.750 0.000
Co 0.750 0.250 0.000
Ge 0.250 0.250 0.390
Ge 0.750 0.750 0.610
S 0.250 0.250 0.879
S 0.750 0.750 0.121
O 0.250 0.250 0.571
O 0.750 0.750 0.429

=====

A plane-wave DFT calculation with GGA+U was carried out for a relaxed CoGeSO crystal.

a = 5.680 Å, b = 8.743 Å, c = 5.494 Å
α = 90.00°, β = 90.00°, γ = 90.00°
Element x y z (fractional)
Co 0.104 0.080 0.000
Co 0.396 0.080 0.500
Co 0.604 0.920 0.000
Co 0.896 0.920 0.500
Ge 0.020 0.684 0.087
Ge 0.480 0.684 0.587
Ge 0.520 0.316 0.087
Ge 0.980 0.316 0.587
S 0.056 0.696 0.642
S 0.444 0.696 0.142
S 0.556 0.304 0.642
S 0.944 0.304 0.142
O 0.066 0.097 0.632
O 0.434 0.097 0.132
O 0.566 0.903 0.632
O 0.934 0.903 0.132

=====

A plane-wave DFT calculation with GGA+U was carried out for a relaxed CoGeSO crystal.

a = 4.291 Å, b = 4.291 Å, c = 7.201 Å
α = 90.00°, β = 90.00°, γ = 90.00°
Element x y z (fractional)
Co 0.250 0.250 0.121
Co 0.750 0.750 0.879
Ge 0.250 0.250 0.640
Ge 0.750 0.750 0.360
S 0.250 0.750 0.000
S 0.750 0.250 0.000
O 0.250 0.250 0.400
O 0.750 0.750 0.600

=====

A plane-wave DFT calculation with GGA+U was carried out for a relaxed CoGeSO crystal.

a = 5.482 Å, b = 7.150 Å, c = 7.523 Å
α = 90.00°, β = 90.00°, γ = 90.00°
Element x y z (fractional)
Co 0.021 0.225 0.378
Co 0.479 0.775 0.878
Co 0.521 0.275 0.622
Co 0.979 0.725 0.122
Ge 0.025 0.107 0.958
Ge 0.475 0.893 0.458
Ge 0.525 0.393 0.042
Ge 0.975 0.607 0.542
S 0.212 0.499 0.266
S 0.288 0.501 0.766
S 0.712 0.001 0.734
S 0.788 0.999 0.234
O 0.198 0.890 0.986
O 0.302 0.110 0.486
O 0.698 0.610 0.014
O 0.802 0.390 0.514

=====

A plane-wave DFT calculation with GGA+U was carried out for a relaxed CoGeSeO crystal.

a = 6.406 Å, b = 6.606 Å, c = 12.606 Å
α = 90.00°, β = 90.00°, γ = 90.00°
Element x y z (fractional)
Co 0.115 0.118 0.232
Co 0.115 0.382 0.732
Co 0.385 0.618 0.232
Co 0.385 0.882 0.732
Co 0.615 0.118 0.268
Co 0.615 0.382 0.768
Co 0.885 0.618 0.268
Co 0.885 0.882 0.768
Ge 0.149 0.224 0.918
Ge 0.149 0.276 0.418
Ge 0.351 0.724 0.918
Ge 0.351 0.776 0.418
Ge 0.649 0.224 0.582
Ge 0.649 0.276 0.082
Ge 0.851 0.724 0.582
Ge 0.851 0.776 0.082
Se 0.246 0.010 0.562
Se 0.246 0.490 0.062
Se 0.254 0.510 0.562
Se 0.254 0.990 0.062
Se 0.746 0.010 0.938
Se 0.746 0.490 0.438
Se 0.754 0.510 0.938
Se 0.754 0.990 0.438
O 0.142 0.700 0.792
O 0.142 0.800 0.292
O 0.358 0.200 0.792
O 0.358 0.300 0.292
O 0.642 0.700 0.708
O 0.642 0.800 0.208
O 0.858 0.200 0.708
O 0.858 0.300 0.208

=====

no.,total moment (μB per formula unit),final energy (eV/atom)
1,2.28,-5.8872
2,30.00,-6.1876
3,0.00,-5.4382
4,2.06,-5.3398
5,0.00,-5.4447
6,2.92,-5.2279
7,2.01,-5.3469
8,2.65,-6.5095
9,3.00,-5.3434
10,3.00,-5.5593
11,0.41,-5.0102
12,2.97,-5.1641
13,3.00,-5.2996
14,0.50,-5.1032
15,3.00,-5.3193
16,1.85,-4.9926
17,3.00,-5.2789
18,3.04,-4.8330